Crystalline RuWSe2 at its relaxed geometry. Source: Alexandria via LeMat-Bulk, functional PBE.

## Properties
Energy relative to the elements, uncorrected ... 2.93 eV per formula unit
Total energy ... -26.3 eV for the cell shown

Unit cell a=3.044 b=4.117 c=5.394 alpha=90.00 beta=90.00 gamma=90.00
Space group Pmmm (No. 47)
Unique sites:
Ru 0.000 0.000 0.000 (multiplicity 1)
W 0.500 0.000 0.500 (multiplicity 1)
Se 0.000 0.500 0.500 (multiplicity 1)
Se 0.500 0.500 0.000 (multiplicity 1)

Crystalline RuW2Se at its relaxed geometry. Source: Alexandria via LeMat-Bulk, functional PBE.

## Properties
Energy relative to the elements, uncorrected ... 2.52 eV per formula unit
Total energy ... -72.3 eV for the cell shown

Unit cell a=3.019 b=4.718 c=9.091 alpha=90.00 beta=90.00 gamma=90.00
Space group Cmmm (No. 65)
Unique sites:
Ru 0.000 0.000 0.000 (multiplicity 2)
W 0.000 0.500 0.239 (multiplicity 4)
Se 0.000 0.000 0.500 (multiplicity 2)

Crystalline RuWSe2 at its relaxed geometry. Source: Alexandria via LeMat-Bulk, functional PBE.

## Properties
Energy relative to the elements, uncorrected ... 1.56 eV per formula unit
Total energy ... -55.3 eV for the cell shown

Unit cell a=3.131 b=4.810 c=10.000 alpha=90.00 beta=90.00 gamma=90.00
Space group Cmm2 (No. 35)
Unique sites:
Ru 0.000 0.000 0.000 (multiplicity 2)
W 0.000 0.500 0.205 (multiplicity 2)
Se 0.000 0.000 0.419 (multiplicity 2)
Se 0.000 0.500 0.785 (multiplicity 2)

Crystalline RuWSe2 at its relaxed geometry. Source: Alexandria via LeMat-Bulk, functional PBE.

## Properties
Energy relative to the elements, uncorrected ... 3.08 eV per formula unit
Total energy ... -104.5 eV for the cell shown

Unit cell a=6.424 b=6.424 c=6.424 alpha=90.00 beta=90.00 gamma=90.00
Space group F-43m (No. 216)
Unique sites:
Ru 0.000 0.000 0.000 (multiplicity 4)
W 0.250 0.250 0.250 (multiplicity 4)
Se 0.000 0.000 0.500 (multiplicity 4)
Se 0.250 0.250 0.750 (multiplicity 4)

> The lowest energy relative to the elements, uncorrected belongs to which entry?

number 3